1.
# Mn3RuC

An optimized crystal structure of Mn3RuC (GGA-PBE, Alexandria).

Lattice parameters (Å, degrees): 4.708 4.708 4.708 90.00 90.00 90.00
Last column: magnetic moment on the atom in μB.
Fractional coordinates of all 5 atoms:
Ru  0.000  0.000  0.000  -0.07
C  0.500  0.500  0.500  -0.65
Mn  0.000  0.500  0.000  3.89
Mn  0.000  0.000  0.500  3.84
Mn  0.500  0.000  0.000  4.05

**Formation energy**: 2274 meV per atom
**Energy above the lowest structure with this stoichiometry**: 2159.1 meV per atom
**D(E_F)**: 6.46 states/eV/cell

2.
# Ca3CrBi

An optimized crystal structure of Ca3CrBi (GGA-PBE, Alexandria).

Lattice parameters (Å, degrees): 5.991 5.991 5.991 90.00 90.00 90.00
Last column: magnetic moment on the atom in μB.
Fractional coordinates of all 5 atoms:
Cr  0.500  0.500  0.500  4.21
Ca  0.000  0.500  0.000  0.03
Ca  0.000  0.000  0.500  0.03
Ca  0.500  0.000  0.000  0.04
Bi  0.000  0.000  0.000  0.05

**Formation energy**: 294 meV per atom
**Energy above the lowest structure with this stoichiometry**: 0.0 meV per atom
**D(E_F)**: 3.65 states/eV/cell

3.
# RbS2ClO

An optimized crystal structure of RbS2ClO (GGA-PBE, Alexandria).

Lattice parameters (Å, degrees): 4.128 4.128 7.675 90.00 90.00 90.00
Last column: magnetic moment on the atom in μB.
Fractional coordinates of all 5 atoms:
S  0.000  0.500  0.000  0.31
S  0.500  0.000  0.000  0.31
O  0.000  0.000  0.000  0.21
Rb  0.500  0.500  0.500  0.00
Cl  0.000  0.000  0.500  0.05

**Energy above the lowest structure with this stoichiometry**: 0.0 meV per atom
**Formation energy without anion corrections**: -0.21 eV per formula unit
**D(E_F)**: 4.28 states/eV/cell

4.
# LaCeSmAl

An optimized crystal structure of LaCeSmAl (GGA-PBE, Alexandria).

Lattice parameters (Å, degrees): 5.479 5.479 5.479 60.00 60.00 60.00
Last column: magnetic moment on the atom in μB.
Fractional coordinates of all 4 atoms:
Al  0.250  0.250  0.250  -0.01
Ce  0.500  0.500  0.500  0.62
Sm  0.750  0.750  0.750  0.14
La  0.000  0.000  0.000  0.04

**Formation energy**: 10 meV per atom
**D(E_F)**: 9.91 states/eV/cell

5.
# Ho5TlRh4

An optimized crystal structure of Ho5TlRh4 (GGA-PBE, Alexandria).

Lattice parameters (Å, degrees): 3.338 3.338 19.215 90.00 90.00 90.00
Fractional coordinates of all 10 atoms:
Ho  0.500  0.500  0.132
Ho  0.500  0.500  0.315
Ho  0.500  0.500  0.500
Ho  0.500  0.500  0.685
Ho  0.500  0.500  0.868
Tl  0.000  0.000  0.000
Rh  0.000  0.000  0.221
Rh  0.000  0.000  0.408
Rh  0.000  0.000  0.592
Rh  0.000  0.000  0.779

**Formation energy**: -782 meV per atom
**D(E_F)**: 4.71 states/eV/cell

6.
# LaZr2Au

An optimized crystal structure of LaZr2Au (GGA-PBE, Alexandria).

Lattice parameters (Å, degrees): 6.373 6.373 5.342 65.20 65.20 30.72
Fractional coordinates of all 4 atoms:
Au  0.750  0.750  0.750
La  0.250  0.250  0.250
Zr  0.028  0.028  0.972
Zr  0.472  0.472  0.528

**Formation energy**: -198 meV per atom
**Energy above the lowest structure with this stoichiometry**: 86.9 meV per atom
**D(E_F)**: 5.05 states/eV/cell

Question: What is the D(E_F) in the first record?
Answer: 6.46 states/eV/cell